[1]
First-principles (PBE) data for a relaxed ZrRuPb crystal, as listed in the Alexandria database.

CIF file:
```
data_ZrRuPb
_space_group_name_H-M_alt 'P 1'
_space_group_IT_number 1
_space_group_name_Hall 'P 1'
_cell_length_a 3.258
_cell_length_b 3.258
_cell_length_c 11.603
_cell_angle_alpha 90.00
_cell_angle_beta 90.00
_cell_angle_gamma 90.00
loop_
_atom_site_label
_atom_site_fract_x
_atom_site_fract_y
_atom_site_fract_z
Zr1 0.000 0.000 0.000
Zr2 0.500 0.500 0.500
Ru1 0.000 0.000 0.369
Ru2 0.500 0.500 0.869
Pb1 0.000 0.000 0.706
Pb2 0.500 0.500 0.206
```

Summary:
**Calculated formation energy**: -91 meV/atom
**Space group**: I4mm
**Calculated volume**: 61.57 Å³/f.u.
**Fermi-level density of states**: 3.4 states/eV/cell
**VASP energy**: -7.27 eV per atom

***

[2]
First-principles (PBE) data for a relaxed ZrRu2Pb crystal, as listed in the Alexandria database.

CIF file:
```
data_ZrRu2Pb
_space_group_name_H-M_alt 'P 1'
_space_group_IT_number 1
_space_group_name_Hall 'P 1'
_cell_length_a 6.654
_cell_length_b 6.654
_cell_length_c 6.654
_cell_angle_alpha 90.00
_cell_angle_beta 90.00
_cell_angle_gamma 90.00
loop_
_atom_site_label
_atom_site_fract_x
_atom_site_fract_y
_atom_site_fract_z
Zr1 0.000 0.000 0.000
Zr2 0.000 0.500 0.500
Zr3 0.500 0.000 0.500
Zr4 0.500 0.500 0.000
Ru1 0.000 0.000 0.500
Ru2 0.000 0.500 0.000
Ru3 0.250 0.250 0.250
Ru4 0.250 0.750 0.750
Ru5 0.500 0.000 0.000
Ru6 0.500 0.500 0.500
Ru7 0.750 0.250 0.750
Ru8 0.750 0.750 0.250
Pb1 0.250 0.250 0.750
Pb2 0.250 0.750 0.250
Pb3 0.750 0.250 0.250
Pb4 0.750 0.750 0.750
```

Summary:
**Calculated formation energy**: 321 meV/atom
**Space group**: F-43m
**Calculated volume**: 73.65 Å³/f.u.
**Fermi-level density of states**: 27.4 states/eV/cell
**VASP energy**: -7.38 eV per atom

***

[3]
First-principles (PBE) data for a relaxed ZrRu2Pb crystal, as listed in the Alexandria database.

CIF file:
```
data_ZrRu2Pb
_space_group_name_H-M_alt 'P 1'
_space_group_IT_number 1
_space_group_name_Hall 'P 1'
_cell_length_a 4.537
_cell_length_b 4.537
_cell_length_c 3.438
_cell_angle_alpha 90.00
_cell_angle_beta 90.00
_cell_angle_gamma 90.00
loop_
_atom_site_label
_atom_site_fract_x
_atom_site_fract_y
_atom_site_fract_z
Zr1 0.000 0.000 0.000
Ru1 0.000 0.500 0.500
Ru2 0.500 0.000 0.500
Pb1 0.500 0.500 0.000
```

Summary:
**Calculated formation energy**: -184 meV/atom
**Space group**: P4/mmm
**Calculated volume**: 70.79 Å³/f.u.
**Fermi-level density of states**: 1.5 states/eV/cell
**VASP energy**: -7.89 eV per atom